Entry 1:
NbInFeCu: optimized geometry, GGA-PBE.

As for the energy relative to the lowest polymorph listed for this composition: 0.1799 eV/atom. The density comes out at 8.57 Mg/m³.

Unit cell a=4.475 b=4.475 c=4.475 alpha=60.00 beta=60.00 gamma=60.00
Fractional coordinates of all 4 atoms:
Fe (0.500, 0.500, 0.500)
In (0.000, 0.000, 0.000)
Nb (0.250, 0.250, 0.250)
Cu (0.750, 0.750, 0.750)

Entry 2:
SrPmO3: optimized geometry, GGA-PBE.

The calculation puts the total energy at -6.896 eV per atom. The density comes out at 5.66 Mg/m³.

Unit cell a=6.066 b=6.266 c=8.670 alpha=90.00 beta=90.00 gamma=90.00
Last column: magnetic moment on the atom in μB.
Fractional coordinates of all 20 atoms:
Pm (0.500, 0.000, 0.500)  0.02
Pm (0.000, 0.500, 0.500)  0.02
Pm (0.000, 0.500, 0.000)  0.02
Pm (0.500, 0.000, 0.000)  0.02
O (0.126, 0.440, 0.250)  0.27
O (0.626, 0.060, 0.750)  0.32
O (0.796, 0.794, 0.068)  0.32
O (0.204, 0.206, 0.932)  0.32
O (0.296, 0.706, 0.932)  0.22
O (0.874, 0.560, 0.750)  0.27
O (0.704, 0.294, 0.432)  0.22
O (0.796, 0.794, 0.432)  0.32
O (0.204, 0.206, 0.568)  0.32
O (0.704, 0.294, 0.068)  0.22
O (0.374, 0.940, 0.250)  0.32
O (0.296, 0.706, 0.568)  0.22
Sr (0.020, 0.948, 0.750)  -0.01
Sr (0.480, 0.448, 0.750)  -0.01
Sr (0.980, 0.052, 0.250)  -0.01
Sr (0.520, 0.552, 0.250)  -0.01

Entry 3:
ErTcPO: optimized geometry, GGA-PBE.

As for the energy relative to the lowest polymorph listed for this composition: 0.6451 eV/atom. The density comes out at 7.80 Mg/m³.

Unit cell a=4.024 b=6.002 c=5.501 alpha=90.00 beta=90.00 gamma=90.00
Fractional coordinates of all 8 atoms:
Tc (0.500, 0.543, 0.609)
Tc (0.500, 0.457, 0.109)
O (0.500, 0.754, 0.917)
O (0.500, 0.246, 0.417)
P (0.000, 0.682, 0.371)
P (0.000, 0.318, 0.871)
Er (0.000, 0.833, 0.857)
Er (0.000, 0.167, 0.357)

Entry 4:
NaPr6IrI12: optimized geometry, GGA-PBE.

The calculation puts the total energy at -4.194 eV per atom. The density comes out at 5.02 Mg/m³.

Unit cell a=10.106 b=10.106 c=10.106 alpha=107.19 beta=107.19 gamma=107.19
Last column: magnetic moment on the atom in μB.
Fractional coordinates of all 20 atoms:
I (0.379, 0.150, 0.458)  0.00
I (0.850, 0.542, 0.621)  0.00
I (0.621, 0.850, 0.542)  0.00
I (0.150, 0.458, 0.379)  0.00
I (0.458, 0.379, 0.150)  0.00
I (0.542, 0.621, 0.850)  0.00
I (0.227, 0.684, 0.076)  0.01
I (0.773, 0.316, 0.924)  0.01
I (0.076, 0.227, 0.684)  0.01
I (0.684, 0.076, 0.227)  0.00
I (0.316, 0.924, 0.773)  0.00
I (0.924, 0.773, 0.316)  0.01
Pr (0.968, 0.896, 0.690)  0.14
Pr (0.690, 0.968, 0.896)  0.14
Pr (0.104, 0.310, 0.032)  0.14
Pr (0.896, 0.690, 0.968)  0.14
Pr (0.032, 0.104, 0.310)  0.14
Pr (0.310, 0.032, 0.104)  0.14
Na (0.500, 0.500, 0.500)  0.00
Ir (0.000, 0.000, 0.000)  0.07

Entry 5:
NaGeAuSe3: optimized geometry, GGA-PBE.

The calculation puts the total energy at -3.583 eV per atom. The density comes out at 6.15 Mg/m³.

Unit cell a=7.683 b=7.683 c=10.522 alpha=90.00 beta=90.00 gamma=27.43
Fractional coordinates of all 12 atoms:
Se (0.045, 0.045, 0.750)
Se (0.373, 0.373, 0.982)
Se (0.373, 0.373, 0.518)
Se (0.955, 0.955, 0.250)
Se (0.627, 0.627, 0.482)
Se (0.627, 0.627, 0.018)
Au (0.631, 0.631, 0.250)
Au (0.369, 0.369, 0.750)
Na (0.707, 0.707, 0.750)
Na (0.293, 0.293, 0.250)
Ge (0.000, 0.000, 0.000)
Ge (0.000, 0.000, 0.500)

Entry 6:
NdErSn2Pd4: optimized geometry, GGA-PBE.

The calculation puts the total energy at -5.619 eV per atom. The density comes out at 9.74 Mg/m³.

Unit cell a=4.601 b=4.601 c=9.062 alpha=90.00 beta=90.00 gamma=120.00
Fractional coordinates of all 8 atoms:
Pd (0.667, 0.333, 0.160)
Pd (0.000, 0.000, 0.672)
Pd (0.667, 0.333, 0.840)
Pd (0.000, 0.000, 0.328)
Sn (0.333, 0.667, 0.244)
Sn (0.333, 0.667, 0.756)
Nd (0.667, 0.333, 0.500)
Er (0.000, 0.000, 0.000)

Entry 7:
ZnGaIr2: optimized geometry, GGA-PBE.

As for the energy relative to the lowest polymorph listed for this composition: 0.0089 eV/atom. The density comes out at 15.36 Mg/m³.

Unit cell a=3.038 b=3.038 c=6.084 alpha=90.00 beta=90.00 gamma=90.00
Fractional coordinates of all 4 atoms:
Ir (0.500, 0.500, 0.754)
Ir (0.500, 0.500, 0.246)
Zn (0.000, 0.000, 0.500)
Ga (0.000, 0.000, 0.000)

Entry 8:
DyTmTc: optimized geometry, GGA-PBE.

As for the energy relative to the lowest polymorph listed for this composition: 0.0000 eV/atom. The density comes out at 9.49 Mg/m³. The formation energy is 913 meV/atom.

Unit cell a=4.736 b=4.736 c=4.736 alpha=60.00 beta=60.00 gamma=60.00
Fractional coordinates of all 3 atoms:
Dy (0.250, 0.250, 0.250)
Tc (0.750, 0.750, 0.750)
Tm (0.000, 0.000, 0.000)

Entry 9:
LiTaCdPt: optimized geometry, GGA-PBE.

As for the energy relative to the lowest polymorph listed for this composition: 0.0000 eV/atom. The density comes out at 12.80 Mg/m³.

Unit cell a=4.496 b=4.496 c=4.496 alpha=60.00 beta=60.00 gamma=60.00
Fractional coordinates of all 4 atoms:
Pt (0.250, 0.250, 0.250)
Cd (0.500, 0.500, 0.500)
Ta (0.000, 0.000, 0.000)
Li (0.750, 0.750, 0.750)

Entry 10:
Lu4W2Au3C3: optimized geometry, GGA-PBE.

The calculation puts the total energy at -7.246 eV per atom. The density comes out at 13.64 Mg/m³.

Unit cell a=5.845 b=5.845 c=14.333 alpha=102.00 beta=102.00 gamma=60.20
Fractional coordinates of all 24 atoms:
W (0.337, 0.527, 0.066)
W (0.663, 0.473, 0.934)
W (0.527, 0.337, 0.566)
W (0.473, 0.663, 0.434)
Au (0.577, 0.703, 0.748)
Au (0.703, 0.577, 0.248)
Au (0.423, 0.297, 0.252)
Au (0.851, 0.149, 0.750)
Au (0.149, 0.851, 0.250)
Au (0.297, 0.423, 0.752)
C (0.652, 0.197, 0.001)
C (0.000, 0.500, 0.000)
C (0.803, 0.348, 0.499)
C (0.348, 0.803, 0.999)
C (0.500, 0.000, 0.500)
C (0.197, 0.652, 0.501)
Lu (0.296, 0.118, 0.897)
Lu (0.051, 0.186, 0.104)
Lu (0.814, 0.949, 0.396)
Lu (0.949, 0.814, 0.896)
Lu (0.704, 0.882, 0.103)
Lu (0.882, 0.704, 0.603)
Lu (0.186, 0.051, 0.604)
Lu (0.118, 0.296, 0.397)

Entry 11:
Pb2Au2O5: optimized geometry, GGA-PBE.

As for the energy relative to the lowest polymorph listed for this composition: 0.1744 eV/atom. The density comes out at 10.48 Mg/m³.

Unit cell a=8.817 b=3.996 c=3.996 alpha=90.00 beta=90.00 gamma=90.00
Fractional coordinates of all 9 atoms:
O (0.845, 0.500, 0.000)
O (0.155, 0.000, 0.500)
O (0.155, 0.500, 0.000)
O (0.500, 0.500, 0.500)
O (0.845, 0.000, 0.500)
Pb (0.254, 0.500, 0.500)
Pb (0.746, 0.500, 0.500)
Au (0.500, 0.000, 0.000)
Au (0.000, 0.000, 0.000)

Entry 12:
ZrU: optimized geometry, GGA-PBE.

As for the energy relative to the lowest polymorph listed for this composition: 0.0612 eV/atom. The density comes out at 12.29 Mg/m³. The formation energy is 176 meV/atom.

Unit cell a=10.419 b=6.607 c=5.172 alpha=90.00 beta=90.00 gamma=90.00
Fractional coordinates of all 16 atoms:
U (0.686, 0.767, 0.000)
U (0.775, 0.000, 0.500)
U (0.981, 0.733, 0.500)
U (0.891, 0.500, 0.000)
U (0.169, 0.000, 0.500)
U (0.981, 0.267, 0.500)
U (0.498, 0.500, 0.000)
U (0.686, 0.233, 0.000)
Zr (0.955, 0.000, 0.000)
Zr (0.187, 0.268, 0.000)
Zr (0.420, 0.000, 0.000)
Zr (0.246, 0.500, 0.500)
Zr (0.480, 0.768, 0.500)
Zr (0.187, 0.732, 0.000)
Zr (0.712, 0.500, 0.500)
Zr (0.480, 0.232, 0.500)

Entry 13:
DyHgPt: optimized geometry, GGA-PBE.

The density comes out at 11.98 Mg/m³. The formation energy is -415 meV/atom.

Unit cell a=4.783 b=4.783 c=4.783 alpha=60.00 beta=60.00 gamma=60.00
Fractional coordinates of all 3 atoms:
Pt (0.750, 0.750, 0.750)
Dy (0.000, 0.000, 0.000)
Hg (0.250, 0.250, 0.250)

Entry 14:
NaTa3Sn5: optimized geometry, GGA-PBE.

The calculation puts the total energy at -6.291 eV per atom. The density comes out at 8.62 Mg/m³.

Unit cell a=5.846 b=5.846 c=7.547 alpha=90.00 beta=90.00 gamma=120.00
Fractional coordinates of all 9 atoms:
Ta (0.000, 0.500, 0.500)
Ta (0.500, 0.500, 0.500)
Ta (0.500, 0.000, 0.500)
Na (0.000, 0.000, 0.000)
Sn (0.333, 0.667, 0.189)
Sn (0.667, 0.333, 0.189)
Sn (0.333, 0.667, 0.811)
Sn (0.667, 0.333, 0.811)
Sn (0.000, 0.000, 0.500)

Entry 15:
Nd3Dy2ErNiTe2: optimized geometry, GGA-PBE.

The calculation puts the total energy at -5.181 eV per atom. The density comes out at 8.21 Mg/m³.

Unit cell a=4.013 b=8.488 c=8.488 alpha=119.89 beta=90.00 gamma=90.00
Fractional coordinates of all 9 atoms:
Te (0.500, 0.667, 0.334)
Te (0.500, 0.334, 0.667)
Nd (0.000, 0.595, 0.000)
Nd (0.000, 0.000, 0.595)
Nd (0.000, 0.406, 0.406)
Dy (0.500, 0.235, 0.000)
Dy (0.500, 0.000, 0.235)
Ni (0.000, 0.998, 0.998)
Er (0.500, 0.766, 0.766)

Entry 16:
PrYAsO: optimized geometry, GGA-PBE.

As for the energy relative to the lowest polymorph listed for this composition: 0.0514 eV/atom. The density comes out at 5.95 Mg/m³.

Unit cell a=4.443 b=4.443 c=9.076 alpha=90.00 beta=90.00 gamma=90.00
Fractional coordinates of all 8 atoms:
Y (0.250, 0.750, 0.500)
Y (0.750, 0.250, 0.500)
Pr (0.750, 0.750, 0.890)
Pr (0.250, 0.250, 0.110)
As (0.250, 0.250, 0.696)
As (0.750, 0.750, 0.304)
O (0.250, 0.750, 0.000)
O (0.750, 0.250, 0.000)

Entry 17:
Sm4InOs: optimized geometry, GGA-PBE.

The calculation puts the total energy at -5.749 eV per atom. The density comes out at 8.51 Mg/m³.

Unit cell a=8.067 b=8.067 c=6.224 alpha=99.91 beta=99.91 gamma=113.22
Fractional coordinates of all 12 atoms:
In (0.376, 0.624, 0.750)
In (0.624, 0.376, 0.250)
Os (0.000, 0.000, 0.250)
Os (0.000, 0.000, 0.750)
Sm (0.059, 0.721, 0.450)
Sm (0.354, 0.204, 0.614)
Sm (0.646, 0.796, 0.386)
Sm (0.721, 0.059, 0.950)
Sm (0.204, 0.354, 0.114)
Sm (0.796, 0.646, 0.886)
Sm (0.941, 0.279, 0.550)
Sm (0.279, 0.941, 0.050)

Entry 18:
Tm3AlNi8: optimized geometry, GGA-PBE.

As for the energy relative to the lowest polymorph listed for this composition: 0.0000 eV/atom. The density comes out at 9.68 Mg/m³.

Unit cell a=5.001 b=5.001 c=15.889 alpha=90.00 beta=90.00 gamma=120.00
Fractional coordinates of all 24 atoms:
Ni (0.166, 0.834, 0.126)
Ni (0.834, 0.668, 0.874)
Ni (0.332, 0.166, 0.874)
Ni (0.000, 0.000, 0.250)
Ni (0.000, 0.000, 0.000)
Ni (0.834, 0.166, 0.626)
Ni (0.834, 0.668, 0.626)
Ni (0.668, 0.834, 0.374)
Ni (0.834, 0.166, 0.874)
Ni (0.166, 0.834, 0.374)
Ni (0.166, 0.332, 0.374)
Ni (0.332, 0.166, 0.626)
Ni (0.166, 0.332, 0.126)
Ni (0.000, 0.000, 0.500)
Ni (0.000, 0.000, 0.750)
Ni (0.668, 0.834, 0.126)
Tm (0.667, 0.333, 0.458)
Tm (0.333, 0.667, 0.958)
Tm (0.333, 0.667, 0.750)
Tm (0.667, 0.333, 0.250)
Tm (0.333, 0.667, 0.542)
Tm (0.667, 0.333, 0.042)
Al (0.667, 0.333, 0.750)
Al (0.333, 0.667, 0.250)

Entry 19:
DyGePO: optimized geometry, GGA-PBE.

As for the energy relative to the lowest polymorph listed for this composition: 0.3366 eV/atom. The density comes out at 6.38 Mg/m³.

Unit cell a=5.595 b=5.595 c=4.689 alpha=90.00 beta=90.00 gamma=90.00
Fractional coordinates of all 8 atoms:
P (0.000, 0.500, 0.496)
P (0.500, 0.000, 0.504)
O (0.500, 0.500, 0.000)
O (0.000, 0.000, 0.000)
Ge (0.500, 0.000, 0.004)
Ge (0.000, 0.500, 0.996)
Dy (0.000, 0.000, 0.500)
Dy (0.500, 0.500, 0.500)

Entry 20:
HfBeFeGe: optimized geometry, GGA-PBE.

As for the energy relative to the lowest polymorph listed for this composition: 0.2276 eV/atom. The density comes out at 9.27 Mg/m³.

Unit cell a=4.310 b=4.310 c=4.310 alpha=60.00 beta=60.00 gamma=60.00
Fractional coordinates of all 4 atoms:
Hf (0.250, 0.250, 0.250)
Be (0.750, 0.750, 0.750)
Ge (0.000, 0.000, 0.000)
Fe (0.500, 0.500, 0.500)

Entry 21:
LaMgAlNi: optimized geometry, GGA-PBE.

As for the energy relative to the lowest polymorph listed for this composition: 0.2266 eV/atom. The density comes out at 4.98 Mg/m³.

Unit cell a=4.896 b=4.896 c=4.896 alpha=60.00 beta=60.00 gamma=60.00
Fractional coordinates of all 4 atoms:
Mg (0.750, 0.750, 0.750)
Al (0.000, 0.000, 0.000)
Ni (0.500, 0.500, 0.500)
La (0.250, 0.250, 0.250)

Entry 22:
SrBeHg: optimized geometry, GGA-PBE.

As for the energy relative to the lowest polymorph listed for this composition: 0.3885 eV/atom. The density comes out at 5.11 Mg/m³.

Unit cell a=5.151 b=5.151 c=5.151 alpha=60.00 beta=60.00 gamma=60.00
Fractional coordinates of all 3 atoms:
Sr (0.000, 0.000, 0.000)
Be (0.250, 0.250, 0.250)
Hg (0.750, 0.750, 0.750)